No. 1
Nd2AlZn2Pt5 | PBE | relaxed

Structure (POSCAR):
```
Nd2AlZn2Pt5
1.0
3.729 0.000 0.000
0.000 9.870 0.000
0.000 0.000 9.870
Pt Nd Zn Al
10 4 4 2
Cartesian
1.865 1.975 0.579
1.865 9.291 1.975
1.865 7.895 9.291
1.865 2.960 5.514
1.865 4.935 0.000
1.865 6.910 4.356
1.865 4.356 2.960
1.865 0.000 4.935
1.865 5.514 6.910
1.865 0.579 7.895
0.000 3.195 8.130
0.000 1.740 3.195
0.000 8.130 6.676
0.000 6.676 1.740
0.000 8.659 3.724
0.000 1.211 6.146
0.000 6.146 8.659
0.000 3.724 1.211
0.000 0.000 0.000
0.000 4.935 4.935
```

Output
final energy	-108.7	eV for the cell shown
symmetry	P4/mbm (127)
size of the total moment	0.00	μB/atom


No. 2
NdAlZn2Pt | PBE | relaxed

Structure (POSCAR):
```
NdAlZn2Pt
1.0
3.996 0.000 0.000
0.000 4.307 0.000
-1.998 -2.153 5.646
Nd Pt Al Zn
1 1 1 2
Cartesian
0.000 0.000 4.995
1.998 2.153 3.700
0.000 2.153 2.171
1.998 0.000 2.216
0.000 0.000 0.605
```

Output
final energy	-20.4	eV for the cell shown
symmetry	Imm2 (44)
size of the total moment	0.00	μB/atom


No. 3
NdAl3ZnPt | PBE | relaxed

Structure (POSCAR):
```
NdAl3ZnPt
1.0
5.975 0.000 0.000
0.000 6.662 0.000
0.000 -3.331 6.021
Al Pt Nd Zn
6 2 2 2
Cartesian
2.988 1.975 0.000
0.000 1.975 0.000
2.988 4.687 0.000
1.494 0.000 1.897
0.000 4.687 0.000
4.481 3.331 4.124
4.481 3.331 1.586
1.494 0.000 4.436
1.494 3.331 2.541
4.481 0.000 3.480
1.494 3.331 5.349
4.481 0.000 0.672
```

Output
final energy	-51.4	eV for the cell shown
symmetry	Cmcm (63)
size of the total moment	0.00	μB/atom


No. 4
Nd2AlZn4Pt3 | PBE | relaxed

Structure (POSCAR):
```
Nd2AlZn4Pt3
1.0
-2.553 -1.330 2.781
1.311 -3.737 -0.583
8.321 1.608 8.408
Zn Nd Al Pt
4 2 1 3
Cartesian
3.653 -1.289 2.737
4.047 0.364 6.770
0.000 0.000 0.000
-0.621 -2.533 1.099
6.941 -0.654 6.059
0.760 -0.272 3.448
3.540 -1.730 5.303
5.846 0.711 8.588
4.161 0.804 4.204
1.854 -1.637 0.920
```

Output
final energy	-43.8	eV for the cell shown
symmetry	P-4m2 (115)
size of the total moment	0.00	μB/atom


No. 5
NdAlZnPt | PBE | relaxed

Structure (POSCAR):
```
NdAlZnPt
1.0
-0.566 -1.404 -3.957
1.919 -2.925 0.763
-5.663 -1.202 1.236
Pt Nd Al Zn
1 1 1 1
Cartesian
-0.033 -2.025 0.723
-2.307 -1.848 -1.283
-3.097 -3.760 1.776
-4.758 -3.237 -0.439
```

Output
final energy	-17.9	eV for the cell shown
symmetry	Amm2 (38)
size of the total moment	0.00	μB/atom


No. 6
Nd2ZrAlPt6 | PBE | relaxed

Structure (POSCAR):
```
Nd2ZrAlPt6
1.0
5.711 0.041 0.020
-0.070 8.511 1.837
2.791 5.735 5.928
Pt Nd Zr Al
6 2 1 1
Cartesian
5.629 9.196 4.273
7.076 7.791 6.342
1.356 6.496 1.443
4.187 7.769 6.331
2.803 5.091 3.513
4.245 6.519 1.454
5.651 5.921 4.052
2.781 8.367 3.733
2.820 4.276 0.929
0.000 0.000 0.000
```

Output
final energy	-66.5	eV for the cell shown
symmetry	R-3m (166)
size of the total moment	0.00	μB/atom


No. 7
Nd2ZrAl4Pt3 | PBE | relaxed

Structure (POSCAR):
```
Nd2ZrAl4Pt3
1.0
4.249 0.000 0.000
0.000 4.249 0.000
0.000 0.000 11.230
Pt Nd Zr Al
3 2 1 4
Cartesian
0.000 2.125 1.393
2.125 0.000 9.837
0.000 0.000 5.615
2.125 0.000 2.705
0.000 2.125 8.524
2.125 2.125 5.615
2.125 0.000 7.364
0.000 0.000 0.000
0.000 2.125 3.865
2.125 2.125 0.000
```

Output
final energy	-60.4	eV for the cell shown
symmetry	P-4m2 (115)
size of the total moment	0.00	μB/atom


No. 8
NdPu2Al | PBE | relaxed

Structure (POSCAR):
```
NdPu2Al
1.0
5.274 0.000 0.000
2.637 4.567 0.000
2.637 1.522 4.308
Nd Pu Al
1 2 1
Cartesian
5.274 3.045 2.154
7.911 4.567 3.232
2.637 1.522 1.076
0.000 0.000 0.000
```

Output
symmetry	Fm-3m (225)
E above lowest polymorph	191	meV per atom
size of the total moment	3.33	μB/atom


No. 9
NdPuAl4 | PBE | relaxed

Structure (POSCAR):
```
NdPuAl4
1.0
-1.689 -5.085 -1.672
0.653 -4.428 3.386
-4.481 -2.394 2.386
Nd Al Pu
1 4 1
Cartesian
0.000 0.000 0.000
-2.604 -4.905 3.391
-1.216 -6.243 1.374
-3.769 -5.231 0.876
-3.444 -7.433 2.560
-1.379 -2.977 1.025
```

Output
final energy	-36.4	eV for the cell shown
symmetry	F-43m (216)
size of the total moment	1.00	μB/atom


No. 10
Nd2PuAl | PBE | relaxed

Structure (POSCAR):
```
Nd2PuAl
1.0
-1.352 3.348 0.279
-2.183 -0.647 -2.817
-6.193 -2.957 5.477
Pu Nd Al
1 2 1
Cartesian
-4.864 -0.128 1.469
-4.832 -2.307 4.273
-1.361 -0.650 1.204
-1.767 1.351 -1.269
```

Output
symmetry	P4/mmm (123)
E above lowest polymorph	7	meV per atom
size of the total moment	1.66	μB/atom


No. 11
Nd3PuAl8 | PBE | relaxed

Structure (POSCAR):
```
Nd3PuAl8
1.0
-2.874 4.516 1.804
-5.233 0.960 -1.897
-6.145 -3.155 6.948
Al Nd Pu
8 3 1
Cartesian
-7.323 2.279 0.316
-4.205 -0.348 3.014
-10.386 0.717 3.785
-9.211 2.487 5.629
-11.334 0.808 6.448
-4.698 1.797 1.268
-11.817 2.966 4.684
-6.139 4.062 2.173
-7.106 1.190 3.387
-8.136 5.434 -0.034
-8.416 -0.705 6.043
-9.397 3.610 2.522
```

Output
final energy	-63.9	eV for the cell shown
symmetry	R3m (160)
size of the total moment	0.50	μB/atom


No. 12
NdPu2Al9 | PBE | relaxed

Structure (POSCAR):
```
NdPu2Al9
1.0
-0.803 -3.780 -3.982
2.058 -5.120 0.580
-7.090 -5.537 2.821
Al Pu Nd
9 2 1
Cartesian
0.803 -5.944 -2.250
-0.209 -7.672 -0.407
-1.256 -5.068 -0.701
-4.580 -9.369 0.120
-1.664 -6.990 -2.726
-6.639 -8.492 1.669
-2.918 -7.218 -0.291
-4.171 -7.446 2.145
-5.626 -6.765 -0.175
-1.989 -10.010 -1.693
-3.846 -4.426 1.112
0.000 0.000 0.000
```

Output
final energy	-70.8	eV for the cell shown
symmetry	R-3m (166)
size of the total moment	0.94	μB/atom


No. 13
NdPuAl | PBE | relaxed

Structure (POSCAR):
```
NdPuAl
1.0
3.309 0.000 0.000
0.000 5.190 0.000
0.000 -2.595 4.495
Nd Pu Al
1 1 1
Cartesian
2.149 0.000 2.997
0.087 0.000 0.000
1.072 2.595 1.498
```

Output
symmetry	P3m1 (156)
E above lowest polymorph	60	meV per atom
size of the total moment	1.93	μB/atom


No. 14
NdPuAl6 | PBE | relaxed

Structure (POSCAR):
```
NdPuAl6
1.0
-2.482 -3.534 1.141
4.931 -3.517 -0.166
1.031 1.168 5.860
Al Nd Pu
6 1 1
Cartesian
4.264 -2.090 2.804
0.037 -2.678 0.528
3.248 -4.500 1.869
0.890 -0.192 1.342
3.771 -3.907 4.847
1.441 0.432 4.474
1.184 -2.545 3.436
3.014 -2.150 -0.101
```

Output
final energy	-44.0	eV for the cell shown
symmetry	Pmm2 (25)
size of the total moment	0.72	μB/atom


No. 15
NdPu2Al | PBE | relaxed

Structure (POSCAR):
```
NdPu2Al
1.0
5.047 0.000 0.000
0.000 4.522 0.000
0.000 0.000 4.522
Al Nd Pu
1 1 2
Cartesian
2.523 0.000 0.000
2.523 2.261 2.261
0.000 2.261 0.000
0.000 0.000 2.261
```

Output
symmetry	P4/mmm (123)
E above lowest polymorph	0	meV per atom
size of the total moment	2.97	μB/atom


No. 16
NdPuAl2 | PBE | relaxed

Structure (POSCAR):
```
NdPuAl2
1.0
3.247 0.000 0.000
0.000 3.247 0.000
0.000 0.000 8.993
Nd Al Pu
1 2 1
Cartesian
1.624 1.624 4.496
0.000 0.000 6.817
0.000 0.000 2.176
1.624 1.624 0.000
```

Output
final energy	-27.4	eV for the cell shown
symmetry	P4/mmm (123)
size of the total moment	1.37	μB/atom


No. 17
NdPuAl | PBE | relaxed

Structure (POSCAR):
```
NdPuAl
1.0
3.696 0.000 0.000
0.000 3.696 0.000
-1.848 -1.848 5.885
Nd Al Pu
1 1 1
Cartesian
0.000 0.000 0.182
1.848 1.848 2.019
0.000 0.000 3.684
```

Output
symmetry	I4mm (107)
E above lowest polymorph	0	meV per atom
size of the total moment	2.14	μB/atom


No. 18
Nd2PuAl | PBE | relaxed

Structure (POSCAR):
```
Nd2PuAl
1.0
-0.846 -2.819 3.538
-1.544 -3.463 -3.128
4.578 -1.762 -0.309
Pu Nd Al
1 2 1
Cartesian
-0.423 -1.409 1.769
2.289 -0.881 -0.154
-0.772 -1.731 -1.564
1.094 -4.022 0.050
```

Output
symmetry	P4/mmm (123)
E above lowest polymorph	0	meV per atom
size of the total moment	1.53	μB/atom


No. 19
Nd2PuAl | PBE | relaxed

Structure (POSCAR):
```
Nd2PuAl
1.0
-1.594 -3.163 0.721
1.959 -3.037 0.070
1.966 -0.637 10.605
Pu Al Nd
1 1 2
Cartesian
0.000 0.000 0.000
1.165 -3.418 5.699
0.630 -1.672 3.114
1.701 -5.163 8.283
```

Output
symmetry	R-3m (166)
E above lowest polymorph	141	meV per atom
size of the total moment	1.66	μB/atom


No. 20
NdPuAl2 | PBE | relaxed

Structure (POSCAR):
```
NdPuAl2
1.0
4.262 0.000 0.000
0.000 4.783 0.000
0.000 0.000 4.783
Nd Al Pu
1 2 1
Cartesian
2.131 0.000 0.000
0.000 0.000 2.391
0.000 2.391 0.000
2.131 2.391 2.391
```

Output
final energy	-27.3	eV for the cell shown
symmetry	P4/mmm (123)
size of the total moment	1.48	μB/atom